# 1
Computed, not measured: a geometry-optimized Ac5Tl8Ag structure at the PBE-GGA level of DFT.

As for the formation energy: -225.3 meV per atom.

It has space group I-4 (No. 82), with a = 9.9155 Å, b = 9.9155 Å, c = 9.6239 Å, α = 90.00°, β = 90.00° and γ = 90.00°. The distinct sites, in fractional coordinates, are Ac at (0.0000, 0.0000, 0.0000), Ac at (0.1049, 0.7594, 0.6441), Tl at (0.0673, 0.6580, 0.9917), Tl at (0.0831, 0.7914, 0.2948) and Ag at (0.0000, 0.5000, 0.2500).

# 2
Computed, not measured: a geometry-optimized Pt3AuC structure at the PBE-GGA level of DFT.

As for the formation energy: 375.8 meV per atom. The value obtained for the energy above the lowest structure with this stoichiometry is 0.000 eV/atom.

It has space group Pm-3m (No. 221), with a = 4.2065 Å, b = 4.2065 Å, c = 4.2065 Å, α = 90.00°, β = 90.00° and γ = 90.00°. The distinct sites, in fractional coordinates, are Pt at (0.0000, 0.0000, 0.5000), Au at (0.5000, 0.5000, 0.5000) and C at (0.0000, 0.0000, 0.0000).

# 3
Computed, not measured: a geometry-optimized PuAlZn structure at the PBE-GGA level of DFT.

As for the formation energy: -24.4 meV per atom.

It has space group Fddd (No. 70, origin choice 2), with a = 7.7264 Å, b = 9.9382 Å, c = 13.4661 Å, α = 90.00°, β = 90.00° and γ = 90.00°. The distinct sites, in fractional coordinates, are Pu at (0.0000, 0.0000, 0.0000), Al at (0.1250, 0.2545, 0.6250) and Zn at (0.1250, 0.1250, 0.4572).

# 4
Computed, not measured: a geometry-optimized TiSnI4 structure at the PBE-GGA level of DFT.

Its formation energy (no corrections) is -0.55 eV per atom.

It has space group C2/m (No. 12), with a = 15.0812 Å, b = 4.2449 Å, c = 7.8396 Å, α = 90.00°, β = 100.01° and γ = 90.00°. The distinct sites, in fractional coordinates, are Ti at (0.0000, 0.0000, 0.0000), Sn at (0.0000, 0.5000, 0.5000), I at (0.1104, 0.5000, 0.8871) and I at (0.1182, 0.0000, 0.3364).